# 1
Material: Co2MoAu
Method: DFT, meta-GGA SCAN
State: single point on PBEsol structure

* formation enthalpy at 0 K: 321 meV/atom

abc: 2.6820 2.6820 25.8970
angles: 90.00 90.00 120.00
Space group R3m (No. 160, hexagonal axes)
Asymmetric unit:
Co  0.0000  0.0000  0.0000 x3
Co  0.0000  0.0000  0.2624 x3
Mo  0.0000  0.0000  0.7473 x3
Au  0.0000  0.0000  0.5092 x3

=====

# 2
Material: NbTlGaCo2
Method: DFT, meta-GGA SCAN
State: single point on PBEsol structure

* formation enthalpy at 0 K: 1622 meV/atom

abc: 4.614 4.614 5.166
angles: 90.00 90.00 90.00
Space group P4/mmm (No. 123)
Asymmetric unit:
Nb  0.000  0.000  0.000 x1
Tl  0.000  0.000  0.500 x1
Ga  0.500  0.500  0.000 x1
Co  0.000  0.500  0.500 x2

=====

# 3
Material: Zr3TiIr
Method: DFT, meta-GGA SCAN
State: single point on PBEsol structure

* distance to the lowest polymorph of the same formula: 0 meV/atom
* formation enthalpy at 0 K: 184 meV/atom

abc: 4.986 4.986 4.986
angles: 90.00 90.00 90.00
Space group Pm-3m (No. 221)
Asymmetric unit:
Zr  0.000  0.000  0.500 x3
Ti  0.500  0.500  0.500 x1
Ir  0.000  0.000  0.000 x1

=====

# 4
Material: AlTc2Os
Method: DFT, meta-GGA SCAN
State: single point on PBEsol structure

* formation enthalpy at 0 K: -161 meV/atom

abc: 9.143 2.769 4.500
angles: 90.00 100.73 90.00
Space group C2/m (No. 12)
Asymmetric unit:
Al  0.000  0.000  0.000 x2
Tc  0.244  0.000  0.746 x4
Os  0.000  0.500  0.500 x2

=====

Which value of formation enthalpy at 0 K does entry 4 give? -161 meV/atom

=====

Among the records above, which one has the lowest formation enthalpy at 0 K? AlTc2Os